Record 1
The following is a DFT calculation (SCAN) of a PBEsol-optimized structure of BePtPb4.

The space group is F-43m (No. 216) and the conventional cell measures 8.662, 8.662 and 8.662 Å, with angles of 90.00, 90.00 and 90.00 degrees. The asymmetric unit holds Be at (0.000, 0.000, 0.000), Pt at (0.250, 0.250, 0.750) and Pb at (0.125, 0.125, 0.375).

For the total magnetization, the calculation gives 0.0 μB per formula unit. The calculation puts the raw total energy at -61.957 eV per atom.

---

Record 2
The following is a DFT calculation (SCAN) of a PBEsol-optimized structure of AlGaI2O.

The space group is P4/mmm (No. 123) and the conventional cell measures 5.739, 5.739 and 3.518 Å, with angles of 90.00, 90.00 and 90.00 degrees. The asymmetric unit holds Al at (0.000, 0.000, 0.000), Ga at (0.500, 0.500, 0.500), I at (0.000, 0.500, 0.000) and O at (0.000, 0.000, 0.500).

The uncorrected formation energy comes out at -452 kJ/mol of formula units. For the total magnetization, the calculation gives 0.0 μB per formula unit. The calculation puts the raw total energy at -21.699 eV per atom.

---

Record 3
The following is a DFT calculation (SCAN) of a PBEsol-optimized structure of RbGa3S5.

The space group is P2_1/c (No. 14) and the conventional cell measures 7.120, 12.586 and 10.336 Å, with angles of 90.00, 103.91 and 90.00 degrees. The asymmetric unit holds Rb at (0.165, 0.113, 0.398), Ga at (0.195, 0.080, 0.901), Ga at (0.293, 0.667, 0.621), Ga at (0.441, 0.600, 0.302), S at (0.074, 0.636, 0.742), S at (0.187, 0.605, 0.406), S at (0.277, 0.168, 0.093), S at (0.344, 0.658, 0.092) and S at (0.423, 0.084, 0.769).

The uncorrected formation energy comes out at -861 kJ/mol of formula units. For the total magnetization, the calculation gives 0.0 μB per formula unit. The calculation puts the raw total energy at -14.094 eV per atom.

---

Record 4
The following is a DFT calculation (SCAN) of a PBEsol-optimized structure of TcIrRh2.

The space group is Cm (No. 8) and the conventional cell measures 8.915, 2.675 and 4.653 Å, with angles of 90.00, 99.85 and 90.00 degrees. The asymmetric unit holds Tc at (0.000, 0.000, 0.000), Ir at (0.252, 0.000, 0.756), Rh at (0.002, 0.500, 0.502) and Rh at (0.249, 0.500, 0.250).

For the total magnetization, the calculation gives 0.0 μB per formula unit. The energy above the most stable polymorph in this dataset comes out at 32 meV per atom. The calculation puts the raw total energy at -43.530 eV per atom.

---

Record 5
The following is a DFT calculation (SCAN) of a PBEsol-optimized structure of Ca4TaCl.

The space group is F-43m (No. 216) and the conventional cell measures 9.187, 9.187 and 9.187 Å, with angles of 90.00, 90.00 and 90.00 degrees. The asymmetric unit holds Ca at (0.124, 0.124, 0.376), Ta at (0.250, 0.250, 0.750) and Cl at (0.000, 0.000, 0.000).

The uncorrected formation energy comes out at 470 kJ/mol of formula units. For the total magnetization, the calculation gives 3.7 μB per formula unit. The calculation puts the raw total energy at -18.057 eV per atom.

---

Record 6
The following is a DFT calculation (SCAN) of a PBEsol-optimized structure of BeIn2CoOs.

The space group is P4/mmm (No. 123) and the conventional cell measures 4.695, 4.695 and 3.777 Å, with angles of 90.00, 90.00 and 90.00 degrees. The asymmetric unit holds Be at (0.000, 0.000, 0.000), In at (0.000, 0.500, 0.500), Co at (0.000, 0.000, 0.500) and Os at (0.500, 0.500, 0.000).

For the total magnetization, the calculation gives 1.5 μB per formula unit. The calculation puts the raw total energy at -30.927 eV per atom.

---

Record 7
The following is a DFT calculation (SCAN) of a PBEsol-optimized structure of SrMn2Co.

The space group is Pmmm (No. 47) and the conventional cell measures 2.780, 3.446 and 6.769 Å, with angles of 90.00, 90.00 and 90.00 degrees. The asymmetric unit holds Sr at (0.000, 0.000, 0.000), Mn at (0.500, 0.500, 0.348) and Co at (0.000, 0.000, 0.500).

For the total magnetization, the calculation gives 8.1 μB per formula unit. The energy above the most stable polymorph in this dataset comes out at 0 meV per atom. The calculation puts the raw total energy at -18.393 eV per atom.

---

Record 8
The following is a DFT calculation (SCAN) of a PBEsol-optimized structure of AlGa2Pd2.

The space group is I4/mmm (No. 139) and the conventional cell measures 3.507, 3.507 and 12.794 Å, with angles of 90.00, 90.00 and 90.00 degrees. The asymmetric unit holds Al at (0.000, 0.000, 0.000), Ga at (0.000, 0.500, 0.250) and Pd at (0.000, 0.000, 0.396).

For the total magnetization, the calculation gives 0.0 μB per formula unit. The calculation puts the raw total energy at -21.643 eV per atom.

---

Record 9
The following is a DFT calculation (SCAN) of a PBEsol-optimized structure of HfTe2P.

The space group is R-3m (No. 166, hexagonal axes) and the conventional cell measures 3.6638, 3.6638 and 27.2693 Å, with angles of 90.00, 90.00 and 120.00 degrees. The asymmetric unit holds Hf at (0.0000, 0.0000, 0.0000), Te at (0.0000, 0.0000, 0.4027) and P at (0.0000, 0.0000, 0.5000).

The uncorrected formation energy comes out at 6 kJ/mol of formula units. For the total magnetization, the calculation gives 0.0 μB per formula unit. The calculation puts the raw total energy at -36.878 eV per atom.

---

Record 10
The following is a DFT calculation (SCAN) of a PBEsol-optimized structure of TeAs2Pb.

The space group is R-3m (No. 166, hexagonal axes) and the conventional cell measures 4.1190, 4.1190 and 20.7116 Å, with angles of 90.00, 90.00 and 120.00 degrees. The asymmetric unit holds Te at (0.0000, 0.0000, 0.0000), As at (0.0000, 0.0000, 0.2536) and Pb at (0.0000, 0.0000, 0.5000).

The uncorrected formation energy comes out at 42 kJ/mol of formula units. For the total magnetization, the calculation gives 0.0 μB per formula unit. The energy above the most stable polymorph in this dataset comes out at 0 meV per atom. The calculation puts the raw total energy at -38.245 eV per atom.

---

Record 11
The following is a DFT calculation (SCAN) of a PBEsol-optimized structure of ReOs3.

The space group is R-3m (No. 166, hexagonal axes) and the conventional cell measures 2.7104, 2.7104 and 26.6296 Å, with angles of 90.00, 90.00 and 120.00 degrees. The asymmetric unit holds Re at (0.0000, 0.0000, 0.0000), Os at (0.0000, 0.0000, 0.2498) and Os at (0.0000, 0.0000, 0.5000).

For the total magnetization, the calculation gives 0.0 μB per formula unit. The energy above the most stable polymorph in this dataset comes out at 211 meV per atom. The calculation puts the raw total energy at -71.566 eV per atom.

---

Record 12
The following is a DFT calculation (SCAN) of a PBEsol-optimized structure of ZrBIN2.

The space group is P4/mmm (No. 123) and the conventional cell measures 4.070, 4.070 and 6.025 Å, with angles of 90.00, 90.00 and 90.00 degrees. The asymmetric unit holds Zr at (0.000, 0.000, 0.000), B at (0.500, 0.500, 0.500), I at (0.000, 0.000, 0.500) and N at (0.000, 0.500, 0.000).

The uncorrected formation energy comes out at 506 kJ/mol of formula units. For the total magnetization, the calculation gives 1.8 μB per formula unit. The calculation puts the raw total energy at -17.642 eV per atom.